Record 1
A plane-wave DFT calculation with PBE was carried out for crystalline SiAgW at its relaxed geometry.

It has space group I4mm (No. 107), with a = 3.085 Å, b = 3.085 Å, c = 10.105 Å, α = 90.00°, β = 90.00° and γ = 90.00°. The inequivalent atoms are Si at (0.000, 0.000, 0.000), Ag at (0.000, 0.000, 0.325) and W at (0.000, 0.000, 0.625).

Its energy is -6.553 eV/atom. As for the formation energy without anion corrections: 50 kJ/mol of atoms.



Record 2
A plane-wave DFT calculation with PBE was carried out for crystalline Cr2SnBr at its relaxed geometry.

It has space group I-42d (No. 122), with a = 7.371 Å, b = 7.371 Å, c = 6.634 Å, α = 90.00°, β = 90.00° and γ = 90.00°. The inequivalent atoms are Cr at (0.239, 0.250, 0.125), Sn at (0.000, 0.000, 0.500) and Br at (0.000, 0.000, 0.000).

Its energy is -5.688 eV/atom. As for the formation energy without anion corrections: 52 kJ/mol of atoms.



Record 3
A plane-wave DFT calculation with PBE was carried out for crystalline ErNi2Ge at its relaxed geometry.

It has space group Fm-3m (No. 225), with a = 6.233 Å, b = 6.233 Å, c = 6.233 Å, α = 90.00°, β = 90.00° and γ = 90.00°. The inequivalent atoms are Er at (0.000, 0.000, 0.000), Ni at (0.250, 0.250, 0.250) and Ge at (0.000, 0.000, 0.500).

Its energy is -5.636 eV/atom. The calculation puts the formation energy at -0.451 eV per atom.



Record 4
A plane-wave DFT calculation with PBE was carried out for crystalline LiMg2Be at its relaxed geometry.

It has space group P4/mmm (No. 123), with a = 4.490 Å, b = 4.490 Å, c = 3.306 Å, α = 90.00°, β = 90.00° and γ = 90.00°. The inequivalent atoms are Li at (0.000, 0.000, 0.000), Mg at (0.000, 0.500, 0.500) and Be at (0.500, 0.500, 0.000).

Its energy is -2.039 eV/atom. The calculation puts the formation energy at 0.168 eV per atom.



Record 5
A plane-wave DFT calculation with PBE was carried out for crystalline CeY6Se8 at its relaxed geometry.

It has space group Fm-3m (No. 225), with a = 11.549 Å, b = 11.549 Å, c = 11.549 Å, α = 90.00°, β = 90.00° and γ = 90.00°. The inequivalent atoms are Ce at (0.000, 0.000, 0.000), Y at (0.000, 0.250, 0.250), Se at (0.000, 0.000, 0.259) and Se at (0.250, 0.250, 0.250).

Its energy is -6.659 eV/atom. As for the formation energy without anion corrections: -176 kJ/mol of atoms.



Record 6
A plane-wave DFT calculation with PBE was carried out for crystalline SbPd4Pb at its relaxed geometry.

It has space group C2/c (No. 15), with a = 17.496 Å, b = 5.404 Å, c = 4.855 Å, α = 90.00°, β = 106.04° and γ = 90.00°. The inequivalent atoms are Sb at (0.250, 0.250, 0.000), Pd at (0.090, 0.164, 0.841), Pd at (0.168, 0.328, 0.418) and Pb at (0.000, 0.291, 0.250).

Its energy is -5.080 eV/atom. As for the formation energy without anion corrections: -30 kJ/mol of atoms.